1.
# ScCrCd2P

ScCrCd2P after structural relaxation (PBE-GGA, Alexandria via LeMat-Bulk).

Lattice parameters (Å, degrees): 5.0307 5.0307 4.2940 90.00 90.00 90.00
Last column: nearest neighbours and their distance in Å.
Space group P4/mmm (No. 123)
Inequivalent atoms, fractional coordinates:
Sc: 0.0000 0.0000 0.0000 [1 per cell]  8 Cd 3.31, 4 P 3.56
Cr: 0.5000 0.5000 0.5000 [1 per cell]  2 P 2.15
Cd: 0.0000 0.5000 0.5000 [2 per cell]  2 Cr 2.52
P: 0.5000 0.5000 0.0000 [1 per cell]  2 Cr 2.15

Results
magnetization	0.200	μB per atom
total energy	-4.333	eV per atom
energy relative to the elements	1.53	eV per formula unit

***

2.
# CrCdSi2P

CrCdSi2P after structural relaxation (PBE-GGA, Alexandria via LeMat-Bulk).

Lattice parameters (Å, degrees): 4.4784 4.4784 5.2687 90.00 90.00 90.00
Last column: nearest neighbours and their distance in Å.
Space group P4/mmm (No. 123)
Inequivalent atoms, fractional coordinates:
Cr: 0.0000 0.0000 0.0000 [1 per cell]  4 Si 2.24
Cd: 0.0000 0.0000 0.5000 [1 per cell]  2 Cr 2.63
Si: 0.0000 0.5000 0.0000 [2 per cell]  2 Cr 2.24
P: 0.5000 0.5000 0.5000 [1 per cell]  4 Cd 3.17, 8 Si 3.46

Results
magnetization	0.594	μB per atom
total energy	-4.481	eV per atom
uncorrected formation energy	0.878	eV/atom

***

3.
# Cr2CdTcP

Cr2CdTcP after structural relaxation (PBE-GGA, Alexandria via LeMat-Bulk).

Lattice parameters (Å, degrees): 4.8105 4.8105 4.4794 90.00 90.00 90.00
Last column: nearest neighbours and their distance in Å.
Space group P4/mmm (No. 123)
Inequivalent atoms, fractional coordinates:
Cr: 0.0000 0.5000 0.0000 [2 per cell]  2 Tc 2.41
Cd: 0.0000 0.0000 0.5000 [1 per cell]  8 Cr 3.29, 4 P 3.40
Tc: 0.5000 0.5000 0.0000 [1 per cell]  2 P 2.24, 4 Cr 2.41
P: 0.5000 0.5000 0.5000 [1 per cell]  2 Tc 2.24

Results
magnetization	1.303	μB per atom
total energy	-6.408	eV per atom
energy relative to the elements	3.90	eV per formula unit

***

4.
# CrCdTeP2

CrCdTeP2 after structural relaxation (PBE-GGA, Alexandria via LeMat-Bulk).

Lattice parameters (Å, degrees): 4.3356 4.3356 5.9721 90.00 90.00 90.00
Last column: nearest neighbours and their distance in Å.
Space group P4/mmm (No. 123)
Inequivalent atoms, fractional coordinates:
Cr: 0.0000 0.0000 0.0000 [1 per cell]  4 P 2.17
Cd: 0.5000 0.5000 0.5000 [1 per cell]  4 Te 3.07
Te: 0.0000 0.0000 0.5000 [1 per cell]  2 Cr 2.99, 4 Cd 3.07
P: 0.0000 0.5000 0.0000 [2 per cell]  2 Cr 2.17

Results
magnetization	0.159	μB per atom
total energy	-4.687	eV per atom
uncorrected formation energy	0.213	eV/atom

***

5.
# YCr2CdP

YCr2CdP after structural relaxation (PBE-GGA, Alexandria via LeMat-Bulk).

Lattice parameters (Å, degrees): 5.0081 5.0081 5.0106 90.00 90.00 90.00
Last column: nearest neighbours and their distance in Å.
Space group P4/mmm (No. 123)
Inequivalent atoms, fractional coordinates:
Y: 0.0000 0.0000 0.0000 [1 per cell]  4 P 3.54, 8 Cr 3.54
Cr: 0.0000 0.5000 0.5000 [2 per cell]  2 Cd 2.50
Cd: 0.5000 0.5000 0.5000 [1 per cell]  4 Cr 2.50, 2 P 2.51
P: 0.5000 0.5000 0.0000 [1 per cell]  2 Cd 2.51

Results
magnetization	1.814	μB per atom
total energy	-5.403	eV per atom
energy relative to the elements	5.02	eV per formula unit

***

6.
# CrCd2Pb

CrCd2Pb after structural relaxation (PBE-GGA, Alexandria via LeMat-Bulk).

Lattice parameters (Å, degrees): 3.1836 3.1836 9.1038 90.00 90.00 90.00
Last column: nearest neighbours and their distance in Å.
Space group P4/mmm (No. 123)
Inequivalent atoms, fractional coordinates:
Cr: 0.0000 0.0000 0.0000 [1 per cell]  8 Cd 2.93, 4 Cr 3.18
Cd: 0.5000 0.5000 0.2052 [2 per cell]  4 Cr 2.93, 4 Cd 3.18
Pb: 0.0000 0.0000 0.5000 [1 per cell]  4 Pb 3.18, 8 Cd 3.50

Results
magnetization	0.944	μB per atom
total energy	-3.498	eV per atom
energy relative to the elements	1.17	eV per formula unit

***

7.
# CrCd3Pb

CrCd3Pb after structural relaxation (PBE-GGA, Alexandria via LeMat-Bulk).

Lattice parameters (Å, degrees): 5.2488 5.2488 5.2488 90.00 90.00 90.00
Last column: nearest neighbours and their distance in Å.
Space group Pm-3m (No. 221)
Inequivalent atoms, fractional coordinates:
Cr: 0.0000 0.0000 0.0000 [1 per cell]  6 Cd 2.62
Cd: 0.0000 0.0000 0.5000 [3 per cell]  2 Cr 2.62
Pb: 0.5000 0.5000 0.5000 [1 per cell]  12 Cd 3.71

Results
magnetization	0.754	μB per atom
total energy	-2.636	eV per atom
distance to the lowest polymorph of the same formula	0.0000	eV/atom
energy relative to the elements	2.90	eV per formula unit

***

8.
# CrCd2Pb

CrCd2Pb after structural relaxation (PBE-GGA, Alexandria via LeMat-Bulk).

Lattice parameters (Å, degrees): 3.4824 3.9552 6.6859 90.00 90.00 90.00
Last column: nearest neighbours and their distance in Å.
Space group Pmmm (No. 47)
Inequivalent atoms, fractional coordinates:
Cr: 0.0000 0.0000 0.0000 [1 per cell]  8 Cd 3.01, 2 Pb 3.34
Cd: 0.5000 0.5000 0.2174 [2 per cell]  1 Cd 2.91, 4 Cr 3.01, 4 Pb 3.24
Pb: 0.0000 0.0000 0.5000 [1 per cell]  8 Cd 3.24, 2 Cr 3.34, 2 Pb 3.48

Results
magnetization	1.049	μB per atom
total energy	-3.469	eV per atom
energy relative to the elements	1.29	eV per formula unit